Below is crystalline Y7Ta at its relaxed geometry, with properties calculated at the PBE level.

Cell lengths 9.792, 9.792, 9.792 Å; angles 90.00, 90.00, 90.00 degrees
Space group Fm-3m (No. 225)
Unique sites:
Y1 0.000 0.000 0.000 (multiplicity 4)
Y2 0.000 0.250 0.250 (multiplicity 24)
Ta1 0.000 0.000 0.500 (multiplicity 4)

Values from the calculation:
- ΔH_f (0 K) (eV per atom) = 0.22

---

Below is crystalline HfNiW3 at its relaxed geometry, with properties calculated at the PBE level.

Cell lengths 4.755, 4.755, 4.755 Å; angles 90.00, 90.00, 90.00 degrees
Space group Pm-3m (No. 221)
Unique sites:
Hf1 0.000 0.000 0.000 (multiplicity 1)
Ni1 0.500 0.500 0.500 (multiplicity 1)
W1 0.000 0.000 0.500 (multiplicity 3)

Values from the calculation:
- ΔH_f (0 K) (eV per atom) = 2.75
- ΔE to the lowest computed polymorph (eV/atom) = 1.525

---

Below is crystalline BaCu2WBr at its relaxed geometry, with properties calculated at the PBE level.

Cell lengths 5.846, 5.846, 5.940 Å; angles 90.00, 90.00, 90.00 degrees
Space group P4/mmm (No. 123)
Unique sites:
Ba1 0.000 0.000 0.000 (multiplicity 1)
Cu1 0.000 0.500 0.000 (multiplicity 2)
W1 0.500 0.500 0.500 (multiplicity 1)
Br1 0.000 0.000 0.500 (multiplicity 1)

Values from the calculation:
- ΔE_f (raw) (eV per atom) = 1.78